LaTb4Dy7: relaxed, PBE.

Cell lengths 6.2270, 7.1948, 8.8617 Å; angles 90.00, 76.45, 89.99 degrees
Fractional positions:
La: 0.0000 0.0000 0.0000
Tb: 0.2210 0.4998 0.3341
Tb: 0.2787 0.7489 0.6643
Tb: 0.7213 0.2511 0.3357
Tb: 0.7790 0.5002 0.6659
Dy: 0.0000 0.5000 0.0000
Dy: 0.2225 0.9999 0.3351
Dy: 0.2788 0.2514 0.6644
Dy: 0.4996 0.2514 0.0000
Dy: 0.5004 0.7486 0.0000
Dy: 0.7212 0.7486 0.3356
Dy: 0.7775 0.0001 0.6649

**SG**: P-1 (2)

---

La2Tb8Dy3: relaxed, PBE.

Cell lengths 5.3098, 7.7655, 11.0263 Å; angles 109.53, 90.03, 90.00 degrees
Fractional positions:
La: 0.0011 0.1919 0.0158
La: 0.9989 0.8081 0.9842
Tb: 0.9999 0.0277 0.3327
Tb: 0.0001 0.9723 0.6673
Tb: 0.0007 0.4203 0.7662
Tb: 0.4991 0.7534 0.1248
Tb: 0.5000 0.2819 0.2503
Tb: 0.5000 0.7181 0.7497
Tb: 0.5009 0.2466 0.8752
Tb: 0.9993 0.5797 0.2338
Dy: 0.0000 0.5000 0.5000
Dy: 0.5002 0.2351 0.5612
Dy: 0.4998 0.7649 0.4388

**SG**: P-1 (2)

---

La2Tb5Dy4: relaxed, PBE.

Cell lengths 12.1498, 12.1498, 8.8148 Å; angles 96.77, 96.77, 16.33 degrees
Fractional positions:
La: 0.0917 0.0917 0.2438
La: 0.9083 0.9083 0.7562
Tb: 0.1413 0.1413 0.6245
Tb: 0.2337 0.2337 0.3251
Tb: 0.5000 0.5000 0.5000
Tb: 0.7663 0.7663 0.6749
Tb: 0.8587 0.8587 0.3755
Dy: 0.0467 0.0467 0.8619
Dy: 0.3215 0.3215 0.0276
Dy: 0.6785 0.6785 0.9724
Dy: 0.9533 0.9533 0.1381

**SG**: C2/m (12)

---

La10Tb4Dy: relaxed, PBE.

Cell lengths 9.6855, 9.6855, 9.6855 Å; angles 99.71, 99.71, 131.51 degrees
Fractional positions:
La: 0.0501 0.3497 0.8993
La: 0.1509 0.0501 0.7004
La: 0.2500 0.7500 0.5000
La: 0.3497 0.4504 0.2996
La: 0.4504 0.1509 0.1007
La: 0.5496 0.8491 0.8993
La: 0.6503 0.5496 0.7004
La: 0.7500 0.2500 0.5000
La: 0.8491 0.9499 0.2996
La: 0.9499 0.6503 0.1007
Tb: 0.1003 0.7004 0.8007
Tb: 0.2996 0.1003 0.3998
Tb: 0.7004 0.8997 0.6002
Tb: 0.8997 0.2996 0.1993
Dy: 0.5000 0.5000 0.0000

**SG**: I4/m (87)

---

La3TbDy2: relaxed, PBE.

Cell lengths 6.3426, 6.3426, 6.2169 Å; angles 99.78, 99.78, 120.01 degrees
Fractional positions:
La: 0.0000 0.0000 0.0000
La: 0.3332 0.6668 0.0000
La: 0.6668 0.3332 0.0000
Tb: 0.5000 0.5000 0.5000
Dy: 0.1666 0.8334 0.5000
Dy: 0.8334 0.1666 0.5000

**SG**: C2/m (12)

---

La3Tb3Dy5: relaxed, PBE.

Cell lengths 9.6622, 9.6622, 5.3594 Å; angles 90.00, 90.00, 120.00 degrees
Fractional positions:
La: 0.0000 0.6399 0.0000
La: 0.3601 0.3601 0.0000
La: 0.6399 0.0000 0.0000
Tb: 0.0000 0.4826 0.5000
Tb: 0.4826 0.0000 0.5000
Tb: 0.5174 0.5174 0.5000
Dy: 0.0000 0.2733 0.0000
Dy: 0.2733 0.0000 0.0000
Dy: 0.3333 0.6667 0.0000
Dy: 0.6667 0.3333 0.0000
Dy: 0.7267 0.7267 0.0000

**SG**: P-62m (189)

---

La3TbDy5: relaxed, PBE.

Cell lengths 9.8837, 9.8837, 7.1453 Å; angles 90.00, 90.00, 120.00 degrees
Fractional positions:
La: 0.0000 0.3579 0.2500
La: 0.0000 0.6421 0.7500
La: 0.3579 0.0000 0.2500
La: 0.3579 0.3579 0.7500
La: 0.6421 0.0000 0.7500
La: 0.6421 0.6421 0.2500
Tb: 0.0000 0.0000 0.0000
Tb: 0.0000 0.0000 0.5000
Dy: 0.0000 0.3098 0.7500
Dy: 0.0000 0.6902 0.2500
Dy: 0.3098 0.0000 0.7500
Dy: 0.3098 0.3098 0.2500
Dy: 0.3333 0.6667 0.0000
Dy: 0.3333 0.6667 0.5000
Dy: 0.6667 0.3333 0.0000
Dy: 0.6667 0.3333 0.5000
Dy: 0.6902 0.0000 0.2500
Dy: 0.6902 0.6902 0.7500

**SG**: P6_3/mcm (193)

---

La12Tb5Dy: relaxed, PBE.

Cell lengths 11.0140, 11.0140, 6.3868 Å; angles 106.54, 106.54, 59.55 degrees
Fractional positions:
La: 0.0043 0.6624 0.1667
La: 0.1625 0.5043 0.6669
La: 0.1713 0.8287 0.0000
La: 0.3293 0.6707 0.5000
La: 0.3376 0.9957 0.8333
La: 0.4957 0.8375 0.3331
La: 0.5043 0.1625 0.6669
La: 0.6624 0.0043 0.1667
La: 0.6707 0.3293 0.5000
La: 0.8287 0.1713 0.0000
La: 0.8375 0.4957 0.3331
La: 0.9957 0.3376 0.8333
Tb: 0.0000 0.0000 0.5000
Tb: 0.1667 0.1667 0.3332
Tb: 0.3334 0.3334 0.1666
Tb: 0.6666 0.6666 0.8334
Tb: 0.8333 0.8333 0.6668
Dy: 0.5000 0.5000 0.0000

**SG**: C2/m (12)

---

La4Tb2Dy3: relaxed, PBE.

Cell lengths 8.1431, 8.1431, 8.0985 Å; angles 107.45, 107.45, 36.99 degrees
Fractional positions:
La: 0.0541 0.0541 0.3305
La: 0.2767 0.2767 0.6678
La: 0.7233 0.7233 0.3322
La: 0.9459 0.9459 0.6695
Tb: 0.1673 0.1673 0.0000
Tb: 0.8327 0.8327 0.0000
Dy: 0.3883 0.3883 0.3288
Dy: 0.5000 0.5000 0.0000
Dy: 0.6117 0.6117 0.6712

**SG**: C2/m (12)

---

La4TbDy4: relaxed, PBE.

Cell lengths 12.4043, 12.4043, 12.4043 Å; angles 154.44, 154.44, 36.47 degrees
Fractional positions:
La: 0.0000 0.5000 0.5000
La: 0.2482 0.2482 0.0000
La: 0.5000 0.0000 0.5000
La: 0.7518 0.7518 0.0000
Tb: 0.5000 0.5000 0.0000
Dy: 0.1212 0.6234 0.0000
Dy: 0.3766 0.3766 0.4978
Dy: 0.6234 0.1212 0.0000
Dy: 0.8788 0.8788 0.5022

**SG**: I-42m (121)

---

La3Tb2Dy3: relaxed, PBE.

Cell lengths 10.9336, 10.9336, 10.9336 Å; angles 153.18, 152.74, 38.62 degrees
Fractional positions:
La: 0.0000 0.0000 0.0000
La: 0.3755 0.8755 0.5000
La: 0.6245 0.1245 0.5000
Tb: 0.2488 0.2488 0.0000
Tb: 0.7512 0.7512 0.0000
Dy: 0.1278 0.6278 0.5000
Dy: 0.5000 0.5000 0.0000
Dy: 0.8722 0.3722 0.5000

**SG**: Immm (71)

---

La12Tb5Dy2: relaxed, PBE.

Cell lengths 10.5118, 10.5118, 10.0606 Å; angles 115.84, 115.84, 42.83 degrees
Fractional positions:
La: 0.0003 0.0003 0.2049
La: 0.9997 0.9997 0.7951
La: 0.0670 0.6052 0.5084
La: 0.0897 0.5916 0.1550
La: 0.3948 0.9330 0.4916
La: 0.4084 0.9103 0.8450
La: 0.4842 0.4842 0.6453
La: 0.5158 0.5158 0.3547
La: 0.5916 0.0897 0.1550
La: 0.6052 0.0670 0.5084
La: 0.9103 0.4084 0.8450
La: 0.9330 0.3948 0.4916
Tb: 0.0000 0.0000 0.5000
Tb: 0.1748 0.1748 0.1683
Tb: 0.3211 0.3211 0.8088
Tb: 0.6789 0.6789 0.1912
Tb: 0.8252 0.8252 0.8317
Dy: 0.3021 0.6979 0.0000
Dy: 0.6979 0.3021 0.0000

**SG**: C2/m (12)

---

Total DFT energy (no corrections)
In order: -55.6 -58.2 -49.8 -62.8 -28.6 -43.2 -83.7 -86.5 -42.5 -35.9 -37.6 -88.6
Unit: eV/cell
Mass density
In order: 8.23 7.89 7.87 5.85 7.34 6.54 7.63 6.91 7.37 6.38 7.52 6.93
Unit: g/cm3